1.
Entry from the Alexandria database: a geometry-optimized La2GeRh4 structure (PBE).

**VASP energy**: -46.686 eV/cell
**Calculated formation energy**: -0.401 eV per atom
**Volume**: 21.64 Å³ per atom
**SG**: I4/mmm, No. 139
**N(E_F)**: 2.5 states/eV/f.u.

POSCAR file:
```
La2GeRh4
1.0
-2.338 2.338 6.928
2.338 -2.338 6.928
2.338 2.338 -6.928
La Ge Rh
2 1 4
Cartesian
0.000 0.000 2.120 La
0.000 0.000 11.736 La
0.000 0.000 6.928 Ge
2.338 0.000 0.000 Rh
0.000 0.000 4.557 Rh
0.000 2.338 0.000 Rh
0.000 0.000 9.299 Rh
```

=====

2.
Entry from the Alexandria database: a geometry-optimized NdScSnHg structure (PBE).

**VASP energy**: -17.480 eV/cell
**Calculated formation energy**: -0.519 eV per atom
**Volume**: 25.54 Å³ per atom
**SG**: F-43m, No. 216
**N(E_F)**: 3.5 states/eV/f.u.

POSCAR file:
```
NdScSnHg
1.0
0.000 3.710 3.710
3.710 0.000 3.710
3.710 3.710 0.000
Nd Sc Sn Hg
1 1 1 1
Cartesian
0.000 0.000 0.000 Nd
3.710 3.710 3.710 Sc
5.566 5.566 5.566 Sn
1.855 1.855 1.855 Hg
```